Computed, not measured: a relaxed structure of RbTl2In at the PBE level of DFT.

abc: 5.1861 5.1861 7.3416
angles: 69.32 69.32 60.00
Atoms (fractional coordinates):
Tl 0.2835 0.2835 0.1494
Tl 0.7165 0.7165 0.8506
Rb 0.5000 0.5000 0.5000
In 0.0000 0.0000 0.0000

Output
**E**: -2.190 eV per atom
**SG**: No. 166

Computed, not measured: a relaxed structure of Rb4Tl5In at the PBE level of DFT.

abc: 7.4069 8.6456 8.6456
angles: 79.43 64.64 64.64
Atoms (fractional coordinates):
Rb 0.8546 0.6206 0.7668
Rb 0.6214 0.2332 0.6206
Rb 0.4752 0.7668 0.3794
Rb 0.2420 0.3794 0.2332
Tl 0.2444 0.7283 0.8759
Tl 0.1203 0.1241 0.7283
Tl 0.9727 0.8759 0.2717
Tl 0.8486 0.2717 0.1241
Tl 0.3476 0.0000 0.0000
In 0.7630 0.0000 0.0000

Output
**E**: -1.903 eV per atom
**SG**: No. 79

Computed, not measured: a relaxed structure of Rb2TlIn at the PBE level of DFT.

abc: 3.9358 3.9358 13.6684
angles: 81.72 81.72 60.00
Atoms (fractional coordinates):
Tl 0.5000 0.5000 0.5000
Rb 0.0905 0.0905 0.7286
Rb 0.9095 0.9095 0.2714
In 0.0000 0.0000 0.0000

Output
**E**: -1.528 eV per atom
**SG**: No. 166

Computed, not measured: a relaxed structure of RbTl2In7 at the PBE level of DFT.

abc: 4.5069 7.0322 11.3158
angles: 108.10 90.00 90.00
Atoms (fractional coordinates):
Rb 0.0000 0.0000 0.0000
Tl 0.5000 0.7398 0.4796
Tl 0.5000 0.2602 0.5204
In 0.0000 0.6032 0.2064
In 0.0000 0.3968 0.7936
In 0.5000 0.6609 0.7513
In 0.5000 0.3391 0.2487
In 0.5000 0.9095 0.2487
In 0.5000 0.0905 0.7513
In 0.5000 0.5000 0.0000

Output
**E**: -2.427 eV per atom
**SG**: No. 65

Computed, not measured: a relaxed structure of Rb5Tl12In2 at the PBE level of DFT.

abc: 9.1180 9.1296 9.8963
angles: 62.53 90.36 90.00
Atoms (fractional coordinates):
Rb 0.5195 0.7603 0.4794
Rb 0.9840 0.7209 0.5582
Rb 0.5000 0.0000 0.0000
Rb 0.0160 0.2791 0.4418
Rb 0.4805 0.2397 0.5206
Tl 0.1217 0.0705 0.8590
Tl 0.7953 0.2939 0.7724
Tl 0.7953 0.9337 0.7724
Tl 0.2859 0.4116 0.7928
Tl 0.2859 0.7956 0.7928
Tl 0.6567 0.5571 0.8859
Tl 0.3433 0.4429 0.1141
Tl 0.7141 0.5884 0.2072
Tl 0.7141 0.2044 0.2072
Tl 0.2047 0.7061 0.2276
Tl 0.2047 0.0663 0.2276
Tl 0.8783 0.9295 0.1410
In 0.0000 0.6610 0.0000
In 0.0000 0.3390 0.0000

Output
**E**: -2.090 eV per atom
**SG**: No. 12

Computed, not measured: a relaxed structure of RbTl2In6 at the PBE level of DFT.

abc: 5.4304 5.4304 9.9792
angles: 90.00 90.00 90.00
Atoms (fractional coordinates):
Rb 0.0000 0.0000 0.0000
Tl 0.5000 0.5000 0.1602
Tl 0.5000 0.5000 0.8398
In 0.0000 0.5000 0.3254
In 0.5000 0.0000 0.3254
In 0.0000 0.5000 0.6746
In 0.5000 0.0000 0.6746
In 0.5000 0.5000 0.5000
In 0.0000 0.0000 0.5000

Output
**E**: -2.492 eV per atom
**SG**: No. 123

Computed, not measured: a relaxed structure of Rb2Tl10In at the PBE level of DFT.

abc: 7.2394 13.0062 11.5414
angles: 90.00 90.00 90.00
Atoms (fractional coordinates):
Rb 0.5000 0.3930 0.8544
Rb 0.5000 0.6070 0.1456
Rb 0.5000 0.8930 0.6456
Rb 0.5000 0.1070 0.3544
Tl 0.0000 0.1196 0.5372
Tl 0.0000 0.8804 0.4628
Tl 0.0000 0.6196 0.9628
Tl 0.0000 0.3804 0.0372
Tl 0.0000 0.1988 0.8124
Tl 0.0000 0.8012 0.1876
Tl 0.2675 0.1846 0.0650
Tl 0.2675 0.8154 0.9350
Tl 0.7325 0.6846 0.4350
Tl 0.7325 0.3154 0.5650
Tl 0.7325 0.8154 0.9350
Tl 0.7325 0.1846 0.0650
Tl 0.2675 0.3154 0.5650
Tl 0.2675 0.6846 0.4350
Tl 0.0000 0.0546 0.2593
Tl 0.0000 0.9454 0.7407
Tl 0.0000 0.5546 0.2407
Tl 0.0000 0.4454 0.7593
Tl 0.0000 0.3012 0.3124
Tl 0.0000 0.6988 0.6876
In 0.0000 0.5000 0.5000
In 0.0000 0.0000 0.0000

Output
**E**: -2.138 eV per atom
**SG**: No. 55

Computed, not measured: a relaxed structure of RbTlIn2 at the PBE level of DFT.

abc: 5.6145 5.6145 11.6109
angles: 76.01 76.01 90.00
Atoms (fractional coordinates):
Tl 0.0000 0.0000 0.0000
Tl 0.7500 0.2500 0.5000
Rb 0.5000 0.5000 0.0000
Rb 0.2500 0.7500 0.5000
In 0.7888 0.1250 0.2500
In 0.9612 0.6250 0.2500
In 0.3750 0.2112 0.7500
In 0.8750 0.0388 0.7500

Output
**E**: -2.108 eV per atom
**SG**: No. 122

Computed, not measured: a relaxed structure of RbTlIn at the PBE level of DFT.

abc: 5.0903 5.2584 5.2584
angles: 120.00 90.00 90.00
Atoms (fractional coordinates):
Tl 0.1669 0.3333 0.6667
Rb 0.6667 0.6667 0.3333
In 0.1664 0.0000 0.0000

Output
**E**: -2.064 eV per atom
**SG**: No. 187

Computed, not measured: a relaxed structure of RbTlIn2 at the PBE level of DFT.

abc: 5.1870 5.1870 7.4130
angles: 69.52 69.52 60.00
Atoms (fractional coordinates):
Tl 0.5000 0.5000 0.5000
Rb 0.0000 0.0000 0.0000
In 0.2126 0.2126 0.3623
In 0.7874 0.7874 0.6377

Output
**E**: -2.223 eV per atom
**SG**: No. 166

Computed, not measured: a relaxed structure of RbTl8In2 at the PBE level of DFT.

abc: 6.5430 6.5430 10.8226
angles: 90.00 90.00 90.00
Atoms (fractional coordinates):
Rb 0.5000 0.5000 0.5000
Tl 0.7519 0.7519 0.2063
Tl 0.7519 0.2481 0.7937
Tl 0.7519 0.7519 0.7937
Tl 0.7519 0.2481 0.2063
Tl 0.2481 0.7519 0.2063
Tl 0.2481 0.7519 0.7937
Tl 0.2481 0.2481 0.2063
Tl 0.2481 0.2481 0.7937
In 0.5000 0.0000 0.0000
In 0.0000 0.5000 0.0000

Output
**E**: -2.178 eV per atom
**SG**: No. 123

Computed, not measured: a relaxed structure of Rb3Tl8In2 at the PBE level of DFT.

abc: 8.2059 8.2059 11.3228
angles: 68.75 68.75 60.00
Atoms (fractional coordinates):
Rb 0.0000 0.0000 0.0000
Rb 0.2405 0.2405 0.2785
Rb 0.7595 0.7595 0.7215
Tl 0.3567 0.3567 0.9298
Tl 0.6433 0.6433 0.0702
Tl 0.2602 0.8730 0.6067
Tl 0.8730 0.2602 0.6067
Tl 0.2602 0.2602 0.6067
Tl 0.1270 0.7398 0.3933
Tl 0.7398 0.1270 0.3933
Tl 0.7398 0.7398 0.3933
In 0.4516 0.4516 0.6453
In 0.5484 0.5484 0.3547

Output
**E**: -2.003 eV per atom
**SG**: No. 166

Computed, not measured: a relaxed structure of RbTl2In at the PBE level of DFT.

abc: 5.0718 5.0718 7.7337
angles: 70.86 70.86 60.00
Atoms (fractional coordinates):
Rb 0.4947 0.4947 0.5158
Tl 0.0502 0.0502 0.8493
Tl 0.2801 0.2801 0.1597
In 0.6749 0.6749 0.9753

Output
**E**: -2.179 eV per atom
**SG**: No. 160

Computed, not measured: a relaxed structure of Rb2Tl6In at the PBE level of DFT.

abc: 7.0428 7.2187 7.2187
angles: 120.00 90.00 90.00
Atoms (fractional coordinates):
Rb 0.3543 0.6667 0.3333
Rb 0.6457 0.3333 0.6667
Tl 0.8344 0.8248 0.6496
Tl 0.8344 0.8248 0.1752
Tl 0.1656 0.6496 0.8248
Tl 0.8344 0.3504 0.1752
Tl 0.1656 0.1752 0.8248
Tl 0.1656 0.1752 0.3504
In 0.5000 0.0000 0.0000

Output
**E**: -2.165 eV per atom
**SG**: No. 164

Computed, not measured: a relaxed structure of RbTl4In2 at the PBE level of DFT.

abc: 6.3699 6.3699 9.1618
angles: 69.66 69.66 90.00
Atoms (fractional coordinates):
Tl 0.2209 0.2209 0.5582
Tl 0.7791 0.7791 0.4418
Tl 0.0000 0.5000 0.0000
Tl 0.5000 0.0000 0.0000
Rb 0.0000 0.0000 0.0000
In 0.4084 0.4084 0.1832
In 0.5916 0.5916 0.8168

Output
**E**: -1.857 eV per atom
**SG**: No. 139

Computed, not measured: a relaxed structure of RbTlIn2 at the PBE level of DFT.

abc: 5.7053 5.7053 5.7053
angles: 60.00 60.00 60.00
Atoms (fractional coordinates):
Tl 0.5000 0.5000 0.5000
Rb 0.0000 0.0000 0.0000
In 0.2500 0.2500 0.2500
In 0.7500 0.7500 0.7500

Output
**E**: -2.134 eV per atom
**SG**: No. 225

Computed, not measured: a relaxed structure of Rb3Tl2In9 at the PBE level of DFT.

abc: 5.2084 9.9471 9.9471
angles: 70.45 74.82 74.82
Atoms (fractional coordinates):
Rb 0.0000 0.0000 0.0000
Rb 0.6957 0.3043 0.3043
Rb 0.3043 0.6957 0.6957
Tl 0.5000 0.3125 0.6875
Tl 0.5000 0.6875 0.3125
In 0.0000 0.5000 0.5000
In 0.6641 0.9702 0.7015
In 0.3359 0.0298 0.2985
In 0.6641 0.7015 0.9702
In 0.3359 0.2985 0.0298
In 0.8528 0.8734 0.4209
In 0.1472 0.1266 0.5791
In 0.8528 0.4209 0.8734
In 0.1472 0.5791 0.1266

Output
**E**: -2.380 eV per atom
**SG**: No. 71

Computed, not measured: a relaxed structure of RbTl3In at the PBE level of DFT.

abc: 7.7944 9.8575 9.8575
angles: 73.65 79.03 79.03
Atoms (fractional coordinates):
Rb 0.2500 0.9736 0.0264
Rb 0.7500 0.0264 0.9736
Rb 0.2500 0.3572 0.6428
Rb 0.7500 0.6428 0.3572
Tl 0.6072 0.6489 0.9944
Tl 0.8928 0.0056 0.3511
Tl 0.3928 0.3511 0.0056
Tl 0.1072 0.9944 0.6489
Tl 0.9357 0.3462 0.0270
Tl 0.5643 0.9730 0.6538
Tl 0.0643 0.6538 0.9730
Tl 0.4357 0.0270 0.3462
Tl 0.4027 0.6750 0.7155
Tl 0.0973 0.2845 0.3250
Tl 0.5973 0.3250 0.2845
Tl 0.9027 0.7155 0.6750
In 0.7348 0.4298 0.7663
In 0.7652 0.2337 0.5702
In 0.2652 0.5702 0.2337
In 0.2348 0.7663 0.4298

Output
**E**: -2.212 eV per atom
**SG**: No. 15

Computed, not measured: a relaxed structure of Rb3Tl6In2 at the PBE level of DFT.

abc: 10.2788 10.2788 10.2788
angles: 109.47 109.47 109.47
Atoms (fractional coordinates):
Rb 0.7227 0.0000 0.7227
Rb 0.2773 0.0000 0.2773
Rb 0.0000 0.2773 0.2773
Rb 0.0000 0.7227 0.7227
Rb 0.2773 0.2773 0.0000
Rb 0.7227 0.7227 0.0000
Tl 0.6649 0.3298 0.6649
Tl 0.6649 0.0000 0.3351
Tl 0.3351 0.0000 0.6649
Tl 0.3351 0.6702 0.3351
Tl 0.0000 0.6649 0.3351
Tl 0.6702 0.3351 0.3351
Tl 0.3298 0.6649 0.6649
Tl 0.0000 0.3351 0.6649
Tl 0.3351 0.6649 0.0000
Tl 0.6649 0.6649 0.3298
Tl 0.3351 0.3351 0.6702
Tl 0.6649 0.3351 0.0000
In 0.0000 0.5000 0.0000
In 0.5000 0.0000 0.0000
In 0.0000 0.0000 0.5000
In 0.5000 0.5000 0.5000

Output
**E**: -2.109 eV per atom
**SG**: No. 229

Computed, not measured: a relaxed structure of RbTlIn at the PBE level of DFT.

abc: 4.8042 7.0435 7.8290
angles: 81.29 72.06 89.55
Atoms (fractional coordinates):
Rb 0.1007 0.4652 0.0777
Rb 0.3185 0.1631 0.6308
Tl 0.6291 0.9623 0.0147
Tl 0.7903 0.6659 0.6939
In 0.9902 0.9325 0.2907
In 0.4291 0.6954 0.4179

Output
**E**: -2.097 eV per atom
**SG**: No. 2

Computed, not measured: a relaxed structure of RbTlIn2 at the PBE level of DFT.

abc: 5.2821 5.0664 5.0664
angles: 90.00 90.00 90.00
Atoms (fractional coordinates):
Tl 0.5000 0.5000 0.5000
Rb 0.5000 0.0000 0.0000
In 0.0000 0.0000 0.5000
In 0.0000 0.5000 0.0000

Output
**E**: -2.106 eV per atom
**SG**: No. 123

Computed, not measured: a relaxed structure of RbTl4In2 at the PBE level of DFT.

abc: 5.1655 5.7513 8.6087
angles: 109.51 90.00 90.00
Atoms (fractional coordinates):
Rb 0.0000 0.0000 0.0000
Tl 0.5000 0.8222 0.6444
Tl 0.0000 0.6972 0.3944
Tl 0.5000 0.1778 0.3556
Tl 0.0000 0.3028 0.6056
In 0.5000 0.5924 0.1848
In 0.5000 0.4076 0.8152

Output
**E**: -2.303 eV per atom
**SG**: No. 65